[1]
# Nd3HoNi | Alexandria | GGA-PBE | optimized geometry
data_Nd3HoNi
_chemical_formula_sum 'Nd3 Ho1 Ni1'
_symmetry_space_group_name_H-M 'P m -3 m'
_symmetry_Int_Tables_number 221
_symmetry_space_group_name_Hall '-P 4 2 3'
_cell_length_a 5.467
_cell_length_b 5.467
_cell_length_c 5.467
_cell_angle_alpha 90.00
_cell_angle_beta 90.00
_cell_angle_gamma 90.00
loop_
_atom_site_label
_atom_site_fract_x
_atom_site_fract_y
_atom_site_fract_z
Nd1 0.000 0.000 0.500
Ho1 0.500 0.500 0.500
Ni1 0.000 0.000 0.000
# **DOS(E_F)**: 2.3926 states/eV/atom
# **ΔE_f**: 0.0668 eV per atom
# **Total magnetization**: 0.5 μB/f.u.
# **E_tot**: -4.866 eV per atom

***

[2]
# NaLuCuAu | Alexandria | GGA-PBE | optimized geometry
data_NaLuCuAu
_chemical_formula_sum 'Na4 Lu4 Cu4 Au4'
_symmetry_space_group_name_H-M 'F -4 3 m'
_symmetry_Int_Tables_number 216
_symmetry_space_group_name_Hall 'F -4 2 3'
_cell_length_a 6.861
_cell_length_b 6.861
_cell_length_c 6.861
_cell_angle_alpha 90.00
_cell_angle_beta 90.00
_cell_angle_gamma 90.00
loop_
_atom_site_label
_atom_site_fract_x
_atom_site_fract_y
_atom_site_fract_z
Na1 0.000 0.000 0.000
Lu1 0.000 0.000 0.500
Cu1 0.250 0.250 0.750
Au1 0.250 0.250 0.250
# **DOS(E_F)**: 0.6359 states/eV/atom
# **ΔE_f**: -0.2452 eV per atom
# **Total magnetization**: 0.0 μB/f.u.
# **E_tot**: -3.549 eV per atom

***

[3]
# Li5PtRh | Alexandria | GGA-PBE | optimized geometry
data_Li5PtRh
_chemical_formula_sum 'Li20 Pt4 Rh4'
_symmetry_space_group_name_H-M 'C 1 2/c 1'
_symmetry_Int_Tables_number 15
_symmetry_space_group_name_Hall '-C 2yc'
_cell_length_a 8.785
_cell_length_b 5.019
_cell_length_c 9.342
_cell_angle_alpha 90.00
_cell_angle_beta 100.15
_cell_angle_gamma 90.00
loop_
_atom_site_label
_atom_site_fract_x
_atom_site_fract_y
_atom_site_fract_z
Li1 0.000 0.232 0.250
Li2 0.148 0.482 0.033
Li3 0.239 0.032 0.686
Pt1 0.000 0.272 0.750
Rh1 0.000 0.000 0.000
# **DOS(E_F)**: 0.3391 states/eV/atom
# **ΔE_f**: -0.2197 eV per atom
# **Total magnetization**: 0.0 μB/f.u.
# **E_tot**: -3.500 eV per atom

***

[4]
# Rb2SmB2O6 | Alexandria | GGA-PBE | optimized geometry
data_Rb2SmB2O6
_chemical_formula_sum 'Rb6 Sm3 B6 O18'
_symmetry_space_group_name_H-M 'R -3 m'
_symmetry_Int_Tables_number 166
_symmetry_space_group_name_Hall '-R 3 2"'
_cell_length_a 5.6266
_cell_length_b 5.6266
_cell_length_c 19.5223
_cell_angle_alpha 90.00
_cell_angle_beta 90.00
_cell_angle_gamma 120.00
loop_
_atom_site_label
_atom_site_fract_x
_atom_site_fract_y
_atom_site_fract_z
Rb1 0.0000 0.0000 0.2079
Sm1 0.0000 0.0000 0.0000
B1 0.0000 0.0000 0.4052
O1 0.0504 0.5252 0.2614
# **DOS(E_F)**: 0.3950 states/eV/atom
# **Total magnetization**: 1.0 μB/f.u.
# **E_tot**: -6.942 eV per atom

***

[5]
# SnPbCl2 | Alexandria | GGA-PBE | optimized geometry
data_SnPbCl2
_chemical_formula_sum 'Sn4 Pb4 Cl8'
_symmetry_space_group_name_H-M 'I -4 2 d'
_symmetry_Int_Tables_number 122
_symmetry_space_group_name_Hall 'I -4 2bw'
_cell_length_a 8.240
_cell_length_b 8.240
_cell_length_c 6.774
_cell_angle_alpha 90.00
_cell_angle_beta 90.00
_cell_angle_gamma 90.00
loop_
_atom_site_label
_atom_site_fract_x
_atom_site_fract_y
_atom_site_fract_z
Sn1 0.000 0.000 0.000
Pb1 0.000 0.000 0.500
Cl1 0.244 0.750 0.125
# **DOS(E_F)**: 0.4117 states/eV/atom
# **Total magnetization**: 0.0 μB/f.u.
# **E_tot**: -3.351 eV per atom

***

[6]
# CaYFe2 | Alexandria | GGA-PBE | optimized geometry
data_CaYFe2
_chemical_formula_sum 'Ca2 Y2 Fe4'
_symmetry_space_group_name_H-M 'C 1 2/m 1'
_symmetry_Int_Tables_number 12
_symmetry_space_group_name_Hall '-C 2y'
_cell_length_a 9.928
_cell_length_b 3.808
_cell_length_c 6.611
_cell_angle_alpha 90.00
_cell_angle_beta 127.69
_cell_angle_gamma 90.00
loop_
_atom_site_label
_atom_site_fract_x
_atom_site_fract_y
_atom_site_fract_z
Ca1 0.000 0.000 0.000
Y1 0.000 0.500 0.500
Fe1 0.246 0.500 0.427
# **DOS(E_F)**: 1.3581 states/eV/atom
# **ΔE_f**: 0.3639 eV per atom
# **Total magnetization**: 0.6 μB/f.u.
# **E_tot**: -5.984 eV per atom

***

[7]
# TlAg4F7 | Alexandria | GGA-PBE | optimized geometry
data_TlAg4F7
_chemical_formula_sum 'Tl1 Ag4 F7'
_symmetry_space_group_name_H-M 'P -1'
_symmetry_Int_Tables_number 2
_symmetry_space_group_name_Hall '-P 1'
_cell_length_a 4.410
_cell_length_b 5.831
_cell_length_c 8.594
_cell_angle_alpha 70.76
_cell_angle_beta 85.47
_cell_angle_gamma 84.53
loop_
_atom_site_label
_atom_site_fract_x
_atom_site_fract_y
_atom_site_fract_z
Tl1 0.000 0.000 0.000
Ag1 0.141 0.756 0.488
Ag2 0.443 0.400 0.180
F1 0.050 0.680 0.218
F2 0.067 0.767 0.841
F3 0.363 0.262 0.478
F4 0.500 0.000 0.000
# **DOS(E_F)**: 0.1652 states/eV/atom
# **Total magnetization**: 0.0 μB/f.u.
# **E_tot**: -3.466 eV per atom

***

[8]
# RbSbPSe2 | Alexandria | GGA-PBE | optimized geometry
data_RbSbPSe2
_chemical_formula_sum 'Rb1 Sb1 P1 Se2'
_symmetry_space_group_name_H-M 'P 4/m m m'
_symmetry_Int_Tables_number 123
_symmetry_space_group_name_Hall '-P 4 2'
_cell_length_a 5.327
_cell_length_b 5.327
_cell_length_c 7.406
_cell_angle_alpha 90.00
_cell_angle_beta 90.00
_cell_angle_gamma 90.00
loop_
_atom_site_label
_atom_site_fract_x
_atom_site_fract_y
_atom_site_fract_z
Rb1 0.000 0.000 0.000
Sb1 0.000 0.000 0.500
P1 0.500 0.500 0.000
Se1 0.000 0.500 0.500
# **DOS(E_F)**: 0.8585 states/eV/atom
# **Total magnetization**: 2.7 μB/f.u.
# **E_tot**: -2.961 eV per atom

***

Q: The lowest DOS(E_F) belongs to which entry?
A: TlAg4F7

***

Q: What is the formula in the fifth record?
A: SnPbCl2